Record 1
! MnCdHgTeBr PBE optimized geometry; values from VASP
&SYSTEM
  ibrav = 0, nat = 10, ntyp = 5
/
ATOMIC_SPECIES
Mn 54.94 Mn.upf
Cd 112.41 Cd.upf
Hg 200.59 Hg.upf
Te 127.60 Te.upf
Br 79.90 Br.upf
CELL_PARAMETERS angstrom
7.774 0.000 0.000
0.000 4.492 0.000
-2.612 0.000 9.500
ATOMIC_POSITIONS crystal
Mn 0.000 0.000 0.000
Mn 0.500 0.500 0.000
Cd 0.097 0.000 0.288
Cd 0.597 0.500 0.288
Hg 0.403 0.500 0.708
Hg 0.903 0.000 0.708
Te 0.185 0.500 0.055
Te 0.685 0.000 0.055
Br 0.480 0.000 0.436
Br 0.980 0.500 0.436
! size of the total moment = 4.05 μB/f.u.
! energy relative to the elements, uncorrected = -167.7 meV per atom
! D(E_F) = 0.83 states/eV/cell
! SG = Cm

---

Record 2
! Ca2TcO6 PBE optimized geometry; values from VASP
&SYSTEM
  ibrav = 0, nat = 9, ntyp = 3
/
ATOMIC_SPECIES
Ca 40.08 Ca.upf
Tc 98.00 Tc.upf
O 16.00 O.upf
CELL_PARAMETERS angstrom
-1.930 2.723 5.247
1.930 -2.723 5.247
1.930 2.723 -5.247
ATOMIC_POSITIONS crystal
Ca 0.169 0.169 0.000
Ca 0.831 0.831 0.000
Tc 0.500 0.500 0.000
O 0.130 0.362 0.768
O 0.304 0.000 0.304
O 0.406 0.638 0.768
O 0.594 0.362 0.232
O 0.696 0.000 0.696
O 0.870 0.638 0.232
! size of the total moment = 0.70 μB/f.u.
! energy relative to the elements, uncorrected = -1667.5 meV per atom
! D(E_F) = 3.16 states/eV/cell
! SG = Immm

---

Record 3
! Dy4PPbSe2 PBE optimized geometry; values from VASP
&SYSTEM
  ibrav = 0, nat = 8, ntyp = 4
/
ATOMIC_SPECIES
Dy 162.50 Dy.upf
P 30.97 P.upf
Pb 207.20 Pb.upf
Se 78.96 Se.upf
CELL_PARAMETERS angstrom
7.205 0.000 0.000
0.000 4.143 0.000
-2.403 0.000 6.850
ATOMIC_POSITIONS crystal
Dy 0.238 0.000 0.233
Dy 0.250 0.500 0.765
Dy 0.750 0.500 0.235
Dy 0.762 0.000 0.767
P 0.000 0.500 0.000
Pb 0.000 0.000 0.500
Se 0.500 0.000 0.000
Se 0.500 0.500 0.500
! size of the total moment = 0.00 μB/f.u.
! energy relative to the elements, uncorrected = -1403.6 meV per atom
! D(E_F) = 2.20 states/eV/cell
! SG = P2/m